DFT (PBE) results for a geometry-optimized Tl2MoAs structure.

Cell and atoms, written as POSCAR:
```
Tl2MoAs
1.0
-0.622 -1.771 -5.127
-2.390 -4.909 -0.021
-1.300 4.707 2.442
As Tl Mo
1 2 1
direct
0.500 0.500 0.000
0.000 0.000 0.000
0.250 0.750 0.500
0.750 0.250 0.500
```

Volume = 21.85 Å³ per atom
E_form = 16.61 kcal/mol of atoms
Polymorph energy (0 for the lowest one) = 0.5530 eV/atom
VASP energy = -17.331 eV for the cell shown
M_tot = 2.31 μB per formula unit